Entry 1:
First-principles (PBE) data for a relaxed structure of Os4Ru5W2, as listed in the Alexandria database.

Geometry as extended XYZ:
```
11
Lattice="2.7332 0.0000 0.0000 1.3509 7.1142 0.0000 0.0106 0.5413 8.2123" Properties=species:S:1:pos:R:3 pbc="T T T"
Os 0.6870 3.0145 1.9175
Os 2.0428 6.4775 4.8912
Os 2.0519 1.1780 3.3211
Os 3.4077 4.6410 6.2947
Ru 0.6842 2.0088 5.5946
Ru 0.6865 0.3721 1.1916
Ru 2.0473 3.8278 4.1061
Ru 3.4082 7.2834 7.0207
Ru 3.4105 5.6467 2.6177
W 2.0451 4.9230 0.3819
W 2.0495 2.7325 7.8303
```

The calculation puts the size of the total moment at 0.0 Bohr magnetons per cell. The value obtained for the total energy is -0.388 Ha/atom.

=====

Entry 2:
First-principles (PBE) data for a relaxed structure of LaPr3Dy8, as listed in the Alexandria database.

Geometry as extended XYZ:
```
12
Lattice="-3.2172 5.7631 5.7878 3.2172 -5.7631 5.7878 3.2172 5.7631 -5.7878" Properties=species:S:1:pos:R:3 pbc="T T T"
La 0.0000 0.0000 0.0000
Pr 3.2172 2.8957 0.0000
Pr 0.0000 5.7631 0.0000
Pr 0.0000 2.8674 5.7878
Dy 3.2172 -2.8783 3.7737
Dy 1.6141 5.7631 -2.8781
Dy 1.6031 0.0000 2.9097
Dy 0.0000 2.8847 2.0141
Dy 3.2172 2.8783 3.7737
Dy 1.6141 5.7631 2.8781
Dy 1.6031 0.0000 8.6659
Dy 0.0000 8.6414 2.0141
```

The calculation puts the size of the total moment at 0.0 Bohr magnetons per cell. The value obtained for the total energy is -0.161 Ha/atom.

=====

Entry 3:
First-principles (PBE) data for a relaxed structure of ZrHgBi2, as listed in the Alexandria database.

Geometry as extended XYZ:
```
4
Lattice="3.9787 0.0000 0.0000 0.0000 3.9787 0.0000 0.0000 0.0000 6.7000" Properties=species:S:1:pos:R:3 pbc="T T T"
Zr 0.0000 0.0000 0.0000
Hg 0.0000 0.0000 3.3500
Bi 1.9893 1.9893 1.5579
Bi 1.9893 1.9893 5.1420
```

The calculation puts the size of the total moment at 0.0 Bohr magnetons per cell. The value obtained for the total energy is -0.159 Ha/atom.

=====

Entry 4:
First-principles (PBE) data for a relaxed structure of ScTaSb2N, as listed in the Alexandria database.

Geometry as extended XYZ:
```
5
Lattice="4.9808 0.0000 0.0000 0.0000 4.9808 0.0000 0.0000 0.0000 4.0076" Properties=species:S:1:pos:R:3 pbc="T T T"
Sc 0.0000 0.0000 0.0000
Ta 2.4904 2.4904 0.0000
Sb 0.0000 2.4904 2.0038
Sb 2.4904 0.0000 2.0038
N 2.4904 2.4904 2.0038
```

The calculation puts the size of the total moment at 0.0 Bohr magnetons per cell. The value obtained for the formation energy without anion corrections is -0.076 eV per atom.

=====

Entry 5:
First-principles (PBE) data for a relaxed structure of Be2TlBi, as listed in the Alexandria database.

Geometry as extended XYZ:
```
16
Lattice="6.3843 0.0000 0.0000 0.0000 6.3843 0.0000 0.0000 0.0000 9.5206" Properties=species:S:1:pos:R:3 pbc="T T T"
Be 1.4830 1.5961 1.1901
Be 1.5961 4.6751 3.5702
Be 1.5961 4.9014 8.3305
Be 1.7092 1.5961 5.9503
Be 4.6751 4.7882 5.9503
Be 4.7882 1.4830 8.3305
Be 4.7882 1.7092 3.5702
Be 4.9014 4.7882 1.1901
Tl 0.0000 0.0000 4.7603
Tl 0.0000 3.1922 7.1404
Tl 3.1922 0.0000 2.3801
Tl 3.1922 3.1922 0.0000
Bi 0.0000 0.0000 0.0000
Bi 0.0000 3.1922 2.3801
Bi 3.1922 0.0000 7.1404
Bi 3.1922 3.1922 4.7603
```

The calculation puts the size of the total moment at 0.0 Bohr magnetons per cell. The value obtained for the distance to the lowest polymorph of the same formula is 0.0 meV/atom.

=====

Entry 6:
First-principles (PBE) data for a relaxed structure of YPbBr, as listed in the Alexandria database.

Geometry as extended XYZ:
```
12
Lattice="7.3362 0.0000 0.0000 0.0000 7.3362 0.0000 0.0000 0.0000 7.3362" Properties=species:S:1:pos:R:3 pbc="T T T"
Y 0.0000 0.0000 0.0000
Y 0.0000 3.6681 3.6681
Y 3.6681 0.0000 3.6681
Y 3.6681 3.6681 0.0000
Pb 1.8341 1.8341 1.8341
Pb 1.8341 5.5022 5.5022
Pb 5.5022 1.8341 5.5022
Pb 5.5022 5.5022 1.8341
Br 1.8341 1.8341 5.5022
Br 1.8341 5.5022 1.8341
Br 5.5022 1.8341 1.8341
Br 5.5022 5.5022 5.5022
```

The calculation puts the size of the total moment at 0.0 Bohr magnetons per cell. The value obtained for the formation energy without anion corrections is -0.285 eV per atom. The value obtained for the distance to the lowest polymorph of the same formula is 621.2 meV/atom.

=====

Entry 7:
First-principles (PBE) data for a relaxed structure of Na2CdSbSe4, as listed in the Alexandria database.

Geometry as extended XYZ:
```
8
Lattice="7.1194 0.0000 0.0000 0.0000 4.0176 0.0000 -2.3508 0.0000 7.0835" Properties=species:S:1:pos:R:3 pbc="T T T"
Na 0.0000 0.0000 0.0000
Na 3.5597 2.0088 0.0000
Cd -1.1754 2.0088 3.5418
Sb 2.3843 0.0000 3.5418
Se 0.0443 0.0000 5.1036
Se 1.2444 2.0088 1.9051
Se 3.5242 2.0088 5.1785
Se 4.7243 0.0000 1.9799
```

The calculation puts the size of the total moment at 0.0 Bohr magnetons per cell. The value obtained for the formation energy without anion corrections is -0.631 eV per atom.

=====

Entry 8:
First-principles (PBE) data for a relaxed structure of Sm6Si2BiTe3, as listed in the Alexandria database.

Geometry as extended XYZ:
```
12
Lattice="9.6164 -2.1852 0.0000 9.6164 2.1852 0.0000 -2.0988 0.0000 8.6374" Properties=species:S:1:pos:R:3 pbc="T T T"
Sm -0.3083 0.0000 2.2119
Sm 5.3710 0.0000 3.7266
Sm 4.4846 0.0000 7.6788
Sm 12.6492 0.0000 0.9586
Sm 11.7629 0.0000 4.9108
Sm 17.4422 0.0000 6.4255
Si 2.5339 0.0000 2.9058
Si 14.6000 0.0000 5.7316
Bi 9.6164 0.0000 0.0000
Te 1.3760 0.0000 7.2031
Te 8.5669 0.0000 4.3187
Te 15.7579 0.0000 1.4343
```

The calculation puts the size of the total moment at 0.0 Bohr magnetons per cell. The value obtained for the formation energy without anion corrections is -1.150 eV per atom.